## LiHfInS4 (PBE-GGA)

Data for an optimized crystal structure of LiHfInS4.

abc: 7.416 7.645 7.645
angles: 59.68 60.99 60.99
Positions (direct):
S1 0.255 0.235 0.735
S2 0.745 0.765 0.265
S3 0.775 0.235 0.735
S4 0.251 0.231 0.268
S5 0.251 0.768 0.731
S6 0.749 0.769 0.732
S7 0.225 0.765 0.265
S8 0.749 0.232 0.269
In1 0.000 0.000 0.000
In2 0.000 0.500 0.500
Li1 0.378 0.372 0.872
Li2 0.622 0.628 0.128
Hf1 0.500 0.000 0.500
Hf2 0.000 0.000 0.500

Values from the calculation:
Spin magnetization = 0.00 μB per formula unit
Formation energy from raw total energies = -8.24 eV per formula unit
Total DFT energy (no corrections) = -78.7 eV per cell

---

## LiHf2In2S6 (PBE-GGA)

Data for an optimized crystal structure of LiHf2In2S6.

abc: 6.544 6.544 7.197
angles: 97.64 97.64 121.36
Positions (direct):
In1 0.158 0.842 0.000
In2 0.842 0.158 0.000
S1 0.725 0.725 0.697
S2 0.059 0.428 0.716
S3 0.941 0.572 0.284
S4 0.572 0.941 0.284
S5 0.428 0.059 0.716
S6 0.275 0.275 0.303
Hf1 0.336 0.664 0.500
Hf2 0.664 0.336 0.500
Li1 0.000 0.000 0.500

Values from the calculation:
Spin magnetization = 0.00 μB per formula unit
Formation energy from raw total energies = -12.40 eV per formula unit
Total DFT energy (no corrections) = -64.5 eV per cell

---

## LiHfScIn (PBE-GGA)

Data for an optimized crystal structure of LiHfScIn.

abc: 4.901 4.901 4.901
angles: 60.00 60.00 60.00
Positions (direct):
In1 0.500 0.500 0.500
Hf1 0.750 0.750 0.750
Li1 0.000 0.000 0.000
Sc1 0.250 0.250 0.250

Values from the calculation:
Spin magnetization = 0.00 μB per formula unit
Formation energy from the elements = -55 meV/atom
Total DFT energy (no corrections) = -21.2 eV per cell

---

## LiHfInSe4 (PBE-GGA)

Data for an optimized crystal structure of LiHfInSe4.

abc: 7.738 8.029 8.029
angles: 59.64 61.19 61.19
Positions (direct):
Hf1 0.000 0.000 0.500
Hf2 0.500 0.000 0.500
Se1 0.749 0.235 0.268
Se2 0.258 0.235 0.735
Se3 0.251 0.765 0.732
Se4 0.773 0.235 0.735
Se5 0.749 0.768 0.735
Se6 0.742 0.765 0.265
Se7 0.251 0.232 0.265
Se8 0.227 0.765 0.265
In1 0.000 0.500 0.500
In2 0.000 0.000 0.000
Li1 0.377 0.373 0.873
Li2 0.623 0.627 0.127

Values from the calculation:
Spin magnetization = 0.00 μB per formula unit
Formation energy from raw total energies = -7.16 eV per formula unit
Total DFT energy (no corrections) = -71.4 eV per cell

---

## LiHfInSi2 (PBE-GGA)

Data for an optimized crystal structure of LiHfInSi2.

abc: 4.351 4.834 4.351
angles: 90.00 90.00 90.00
Positions (direct):
In1 0.500 0.500 0.500
Si1 0.500 0.000 0.000
Si2 0.000 0.000 0.500
Hf1 0.000 0.500 0.000
Li1 0.000 0.000 0.000

Values from the calculation:
Spin magnetization = 0.00 μB per formula unit
Formation energy from raw total energies = 2.69 eV per formula unit
Total DFT energy (no corrections) = -22.8 eV per cell

---

## LiHfInSn (PBE-GGA)

Data for an optimized crystal structure of LiHfInSn.

abc: 3.322 3.322 7.440
angles: 90.00 90.00 90.00
Positions (direct):
Li1 0.000 0.000 0.572
Hf1 0.000 0.000 0.069
In1 0.500 0.500 0.800
Sn1 0.500 0.500 0.343

Values from the calculation:
Spin magnetization = 0.00 μB per formula unit
Formation energy from the elements = -237 meV/atom
Total DFT energy (no corrections) = -19.6 eV per cell

---

## LiHfTlIn (PBE-GGA)

Data for an optimized crystal structure of LiHfTlIn.

abc: 4.979 4.979 4.979
angles: 60.00 60.00 60.00
Positions (direct):
Tl1 0.250 0.250 0.250
In1 0.750 0.750 0.750
Li1 0.000 0.000 0.000
Hf1 0.500 0.500 0.500

Values from the calculation:
Spin magnetization = 0.00 μB per formula unit
Formation energy from the elements = 21 meV/atom
Total DFT energy (no corrections) = -16.9 eV per cell

---

## Li2YHfIn (PBE-GGA)

Data for an optimized crystal structure of Li2YHfIn.

abc: 4.696 5.537 4.696
angles: 90.00 90.00 90.00
Positions (direct):
Y1 0.000 0.000 0.000
Li1 0.500 0.000 0.000
Li2 0.000 0.000 0.500
In1 0.000 0.500 0.000
Hf1 0.500 0.500 0.500

Values from the calculation:
Spin magnetization = 0.32 μB per formula unit
Formation energy from the elements = 1159 meV/atom
Total DFT energy (no corrections) = -17.2 eV per cell

---

## LuHfInOs (PBE-GGA)

Data for an optimized crystal structure of LuHfInOs.

abc: 4.852 4.852 4.852
angles: 60.00 60.00 60.00
Positions (direct):
Os1 0.500 0.500 0.500
Lu1 0.250 0.250 0.250
In1 0.000 0.000 0.000
Hf1 0.750 0.750 0.750

Values from the calculation:
Spin magnetization = 0.00 μB per formula unit
Formation energy from the elements = -235 meV/atom
Total DFT energy (no corrections) = -29.4 eV per cell

---

## LuHfInRh (PBE-GGA)

Data for an optimized crystal structure of LuHfInRh.

abc: 4.894 4.894 4.894
angles: 60.00 60.00 60.00
Positions (direct):
Rh1 0.750 0.750 0.750
Hf1 0.500 0.500 0.500
Lu1 0.000 0.000 0.000
In1 0.250 0.250 0.250

Values from the calculation:
Spin magnetization = 0.01 μB per formula unit
Formation energy from the elements = -422 meV/atom
Total DFT energy (no corrections) = -26.3 eV per cell

---

## LuHfInRu (PBE-GGA)

Data for an optimized crystal structure of LuHfInRu.

abc: 4.869 4.869 4.869
angles: 60.00 60.00 60.00
Positions (direct):
In1 0.250 0.250 0.250
Hf1 0.000 0.000 0.000
Ru1 0.750 0.750 0.750
Lu1 0.500 0.500 0.500

Values from the calculation:
Spin magnetization = 0.00 μB per formula unit
Formation energy from the elements = -284 meV/atom
Total DFT energy (no corrections) = -27.6 eV per cell

---

## LuHfZnIn (PBE-GGA)

Data for an optimized crystal structure of LuHfZnIn.

abc: 4.947 4.947 4.947
angles: 60.00 60.00 60.00
Positions (direct):
Lu1 0.500 0.500 0.500
In1 0.250 0.250 0.250
Zn1 0.750 0.750 0.750
Hf1 0.000 0.000 0.000

Values from the calculation:
Spin magnetization = 0.00 μB per formula unit
Formation energy from the elements = -176 meV/atom
Total DFT energy (no corrections) = -19.2 eV per cell

---

## HfMgIn2 (PBE-GGA)

Data for an optimized crystal structure of HfMgIn2.

abc: 4.281 4.488 4.488
angles: 90.00 90.00 90.00
Positions (direct):
Hf1 0.500 0.500 0.500
In1 0.000 0.000 0.500
In2 0.000 0.500 0.000
Mg1 0.500 0.000 0.000

Values from the calculation:
Spin magnetization = 0.00 μB per formula unit
Formation energy from the elements = -129 meV/atom
Total DFT energy (no corrections) = -17.5 eV per cell

---

## HfMgIn2 (PBE-GGA)

Data for an optimized crystal structure of HfMgIn2.

abc: 3.355 3.355 7.887
angles: 90.00 90.00 90.00
Positions (direct):
In1 0.000 0.000 0.753
In2 0.000 0.000 0.247
Hf1 0.500 0.500 0.500
Mg1 0.500 0.500 0.000

Values from the calculation:
Spin magnetization = 0.00 μB per formula unit
Formation energy from the elements = -60 meV/atom
Total DFT energy (no corrections) = -17.3 eV per cell

---

## HfMgIn2 (PBE-GGA)

Data for an optimized crystal structure of HfMgIn2.

abc: 7.824 7.824 6.347
angles: 51.95 51.95 90.00
Positions (direct):
In1 0.610 0.125 0.250
In2 0.140 0.625 0.250
In3 0.875 0.860 0.750
In4 0.375 0.390 0.750
Hf1 0.000 0.000 0.000
Hf2 0.750 0.250 0.500
Mg1 0.250 0.750 0.500
Mg2 0.500 0.500 0.000

Values from the calculation:
Spin magnetization = 0.00 μB per formula unit
Formation energy from the elements = 238 meV/atom
Total DFT energy (no corrections) = -32.1 eV per cell

---

## Hf5MgIn4 (PBE-GGA)

Data for an optimized crystal structure of Hf5MgIn4.

abc: 3.175 9.641 8.695
angles: 114.00 100.52 90.00
Positions (direct):
In1 0.016 0.768 0.032
In2 0.324 0.982 0.648
In3 0.676 0.018 0.352
In4 0.984 0.232 0.968
Mg1 0.500 0.000 0.000
Hf1 0.815 0.634 0.631
Hf2 0.170 0.677 0.340
Hf3 0.500 0.500 0.000
Hf4 0.185 0.366 0.369
Hf5 0.830 0.323 0.660

Values from the calculation:
Spin magnetization = 0.00 μB per formula unit
Formation energy from the elements = 156 meV/atom
Total DFT energy (no corrections) = -60.8 eV per cell

---

## HfMgIn3 (PBE-GGA)

Data for an optimized crystal structure of HfMgIn3.

abc: 5.742 8.546 10.121
angles: 108.45 90.00 90.00
Positions (direct):
Mg1 0.846 0.508 0.637
Mg2 0.154 0.492 0.363
Mg3 0.654 0.508 0.137
Mg4 0.346 0.492 0.863
In1 0.155 0.661 0.150
In2 0.474 0.046 0.758
In3 0.026 0.046 0.258
In4 0.734 0.734 0.443
In5 0.234 0.266 0.057
In6 0.655 0.339 0.350
In7 0.845 0.339 0.850
In8 0.266 0.266 0.557
In9 0.526 0.954 0.242
In10 0.974 0.954 0.742
In11 0.345 0.661 0.650
In12 0.766 0.734 0.943
Hf1 0.738 0.108 0.030
Hf2 0.762 0.108 0.530
Hf3 0.262 0.892 0.970
Hf4 0.238 0.892 0.470

Values from the calculation:
Spin magnetization = 0.00 μB per formula unit
Formation energy from the elements = -34 meV/atom
E above lowest polymorph = 0.000 eV/atom
Total DFT energy (no corrections) = -79.7 eV per cell

---

## HfMg2In2 (PBE-GGA)

Data for an optimized crystal structure of HfMg2In2.

abc: 4.842 4.842 12.389
angles: 90.00 90.00 120.00
Positions (direct):
Hf1 0.000 0.000 0.750
Hf2 0.000 0.000 0.250
Mg1 0.667 0.333 0.750
Mg2 0.000 0.000 0.000
Mg3 0.333 0.667 0.250
Mg4 0.000 0.000 0.500
In1 0.333 0.667 0.875
In2 0.333 0.667 0.625
In3 0.667 0.333 0.125
In4 0.667 0.333 0.375

Values from the calculation:
Spin magnetization = 0.00 μB per formula unit
Formation energy from the elements = 244 meV/atom
E above lowest polymorph = 0.184 eV/atom
Total DFT energy (no corrections) = -34.8 eV per cell

---

## HfMg2In (PBE-GGA)

Data for an optimized crystal structure of HfMg2In.

abc: 8.044 8.044 6.410
angles: 51.13 51.13 90.00
Positions (direct):
Hf1 0.750 0.250 0.500
Hf2 0.000 0.000 0.000
Mg1 0.605 0.125 0.250
Mg2 0.375 0.395 0.750
Mg3 0.875 0.855 0.750
Mg4 0.145 0.625 0.250
In1 0.500 0.500 0.000
In2 0.250 0.750 0.500

Values from the calculation:
Spin magnetization = 0.00 μB per formula unit
Formation energy from the elements = 365 meV/atom
Total DFT energy (no corrections) = -28.8 eV per cell

---

## HfMg2In (PBE-GGA)

Data for an optimized crystal structure of HfMg2In.

abc: 4.518 4.343 4.343
angles: 90.00 90.00 90.00
Positions (direct):
In1 0.500 0.000 0.000
Mg1 0.000 0.000 0.500
Mg2 0.000 0.500 0.000
Hf1 0.500 0.500 0.500

Values from the calculation:
Spin magnetization = 0.00 μB per formula unit
Formation energy from the elements = -86 meV/atom
Total DFT energy (no corrections) = -16.2 eV per cell